Entry from Alexandria via LeMat-Bulk: a geometry-optimized Al2CrSb structure (PBE).

a b c (Å): 6.743 6.743 6.743
angles (deg): 90.00 90.00 90.00
Space group F-43m (No. 216)
One atom of each set of equivalent atoms:
Al: 0.000 0.000 0.000 (multiplicity 4)
Al: 0.250 0.250 0.250 (multiplicity 4)
Cr: 0.250 0.250 0.750 (multiplicity 4)
Sb: 0.000 0.000 0.500 (multiplicity 4)

Results
As for the calculated volume: 19.2 Å³ per atom. The calculation puts the total magnetic moment at 14.83 Bohr magnetons per cell. The density of states at the Fermi level comes out at 2.1 states/eV/f.u. For the formation energy (no corrections), the calculation gives 0.344 eV per atom.